(1)
DFT (PBE) results for an optimized crystal structure of LaZn2Tc.

Cell lengths 4.881, 4.881, 5.058 Å; angles 72.43, 72.43, 46.07 degrees
Fractional coordinates of all 4 atoms:
La 0.250 0.250 0.250
Tc 0.750 0.750 0.750
Zn 0.033 0.033 0.880
Zn 0.467 0.467 0.620

Output
The magnetic moment is 0.00 μB per cell. The space-group type is C2/m, No. 12. The density is 7.4 g cm⁻³. As for the density of states at the Fermi level: 2.34 states/eV/cell. The excess energy over the best structure of this formula in the dataset comes out at 0.000 eV per atom. As for the energy relative to the elements: -0.008 eV per atom.

***

(2)
DFT (PBE) results for an optimized crystal structure of TbDy2Tl2Zn2.

Cell lengths 4.753, 4.753, 9.420 Å; angles 75.39, 75.39, 60.00 degrees
Fractional coordinates of all 7 atoms:
Tb 0.000 0.000 0.000
Dy 0.128 0.128 0.615
Dy 0.872 0.872 0.385
Tl 0.734 0.734 0.798
Tl 0.266 0.266 0.202
Zn 0.589 0.589 0.233
Zn 0.411 0.411 0.767

Output
The magnetic moment is 0.00 μB per cell. The space-group type is R-3m, No. 166. The density is 9.6 g cm⁻³. As for the density of states at the Fermi level: 3.39 states/eV/cell. As for the energy relative to the elements: -0.151 eV per atom.

***

(3)
DFT (PBE) results for an optimized crystal structure of Pd2PtRh2W.

Cell lengths 5.563, 5.583, 7.453 Å; angles 112.00, 111.92, 90.00 degrees
Fractional coordinates of all 12 atoms:
Pd 0.413 0.155 0.310
Pd 0.587 0.845 0.690
Pd 0.103 0.345 0.690
Pd 0.897 0.655 0.310
Pt 0.500 0.750 0.000
Pt 0.500 0.250 0.000
Rh 0.904 0.139 0.278
Rh 0.375 0.639 0.278
Rh 0.625 0.361 0.722
Rh 0.096 0.861 0.722
W 0.000 0.750 0.000
W 0.000 0.250 0.000

Output
The magnetic moment is 0.00 μB per cell. The space-group type is Ibam, No. 72. The density is 13.5 g cm⁻³. As for the density of states at the Fermi level: 12.97 states/eV/cell. As for the energy relative to the elements: 0.114 eV per atom.